LiTaZnNi after structural relaxation, computed with PBE-GGA.

a b c (Å): 4.206 4.206 4.206
angles (deg): 60.00 60.00 60.00
Positions (direct):
Li  0.000  0.000  0.000
Ta  0.250  0.250  0.250
Zn  0.750  0.750  0.750
Ni  0.500  0.500  0.500

## Properties
The space-group type is F-43m.

=====

LiTb2Ni9 after structural relaxation, computed with PBE-GGA.

a b c (Å): 8.490 8.490 8.490
angles (deg): 33.78 33.78 33.78
Positions (direct):
Li  0.000  0.000  0.000
Tb  0.135  0.135  0.135
Tb  0.865  0.865  0.865
Ni  0.080  0.582  0.582
Ni  0.333  0.333  0.333
Ni  0.418  0.418  0.920
Ni  0.418  0.920  0.418
Ni  0.500  0.500  0.500
Ni  0.582  0.080  0.582
Ni  0.582  0.582  0.080
Ni  0.667  0.667  0.667
Ni  0.920  0.418  0.418

## Properties
The space-group type is R-3m.

=====

LiTbNi after structural relaxation, computed with PBE-GGA.

a b c (Å): 7.128 3.794 12.402
angles (deg): 90.00 90.99 90.00
Positions (direct):
Li  0.013  0.250  0.079
Li  0.127  0.750  0.536
Li  0.372  0.250  0.198
Li  0.628  0.750  0.802
Li  0.873  0.250  0.464
Li  0.987  0.750  0.921
Tb  0.055  0.750  0.284
Tb  0.342  0.250  0.915
Tb  0.452  0.250  0.623
Tb  0.548  0.750  0.377
Tb  0.658  0.750  0.085
Tb  0.945  0.250  0.716
Ni  0.241  0.750  0.751
Ni  0.258  0.250  0.413
Ni  0.258  0.750  0.075
Ni  0.742  0.250  0.925
Ni  0.742  0.750  0.587
Ni  0.759  0.250  0.249

## Properties
The space-group type is P2_1/m. The energy above the most stable polymorph in this dataset comes out at 0.000 eV per atom.

=====

Li2Tb3Ni7 after structural relaxation, computed with PBE-GGA.

a b c (Å): 8.550 8.550 8.550
angles (deg): 34.43 34.43 34.43
Positions (direct):
Li  0.165  0.165  0.165
Li  0.835  0.835  0.835
Tb  0.361  0.361  0.361
Tb  0.500  0.500  0.500
Tb  0.639  0.639  0.639
Ni  0.000  0.000  0.000
Ni  0.085  0.085  0.581
Ni  0.085  0.581  0.085
Ni  0.419  0.915  0.915
Ni  0.581  0.085  0.085
Ni  0.915  0.419  0.915
Ni  0.915  0.915  0.419

## Properties
The space-group type is R-3m.

=====

LiTbNi after structural relaxation, computed with PBE-GGA.

a b c (Å): 4.219 4.219 3.609
angles (deg): 90.00 90.00 120.00
Positions (direct):
Li  0.000  0.000  0.000
Tb  0.667  0.333  0.500
Ni  0.333  0.667  0.000

## Properties
The space-group type is P-6m2. The energy above the most stable polymorph in this dataset comes out at 0.121 eV per atom.

=====

LiTb6Ni2 after structural relaxation, computed with PBE-GGA.

a b c (Å): 8.413 8.413 8.413
angles (deg): 112.78 109.96 105.75
Positions (direct):
Li  0.000  0.000  0.000
Li  0.500  0.500  0.000
Tb  0.030  0.228  0.802
Tb  0.181  0.291  0.473
Tb  0.181  0.709  0.890
Tb  0.320  0.011  0.691
Tb  0.320  0.630  0.309
Tb  0.426  0.228  0.198
Tb  0.574  0.772  0.802
Tb  0.680  0.370  0.691
Tb  0.680  0.989  0.309
Tb  0.819  0.291  0.110
Tb  0.819  0.709  0.527
Tb  0.970  0.772  0.198
Ni  0.122  0.622  0.500
Ni  0.348  0.000  0.348
Ni  0.652  0.000  0.652
Ni  0.878  0.378  0.500

## Properties
The space-group type is Immm.

=====

Number 1: calculated formation energy -0.10 eV/atom. Number 2: calculated formation energy -0.22 eV/atom. Number 3: calculated formation energy -0.21 eV/atom. Number 4: calculated formation energy -0.32 eV/atom. Number 5: calculated formation energy -0.09 eV/atom. Number 6: calculated formation energy -0.18 eV/atom.